Entry from the Alexandria database: a geometry-optimized AlGa2FeO6 structure (PBE+U).

Geometry as POSCAR:
```
AlGa2FeO6
1.0
5.095 -0.381 -0.395
1.172 6.261 0.302
1.172 0.070 6.268
O Al Fe Ga
12 2 2 4
direct
0.382 0.197 0.018 O
0.864 0.721 0.540 O
0.406 0.862 0.350 O
0.636 0.460 0.279 O
0.094 0.650 0.138 O
0.594 0.138 0.650 O
0.118 0.982 0.803 O
0.618 0.803 0.982 O
0.136 0.279 0.460 O
0.364 0.540 0.721 O
0.906 0.350 0.862 O
0.882 0.018 0.197 O
0.750 0.736 0.264 Al
0.250 0.264 0.736 Al
0.250 0.911 0.089 Fe
0.750 0.089 0.911 Fe
0.197 0.786 0.592 Ga
0.697 0.592 0.786 Ga
0.803 0.214 0.408 Ga
0.303 0.408 0.214 Ga
```

Results
Its total energy is -6.418 eV/atom. The calculation puts the density of states at the Fermi level at 0.00 states/eV per atom.